# 1
This record from the Alexandria database describes PuMg2OsN4 after structural relaxation. The functional is PBE-GGA.

a = 3.2458 Å, b = 5.8231 Å, c = 10.8858 Å
α = 90.00°, β = 90.00°, γ = 106.18°
Sites, in units of the cell vectors:
Mg: 0.3794 0.7588 0.9725
Mg: 0.3794 0.7588 0.5275
Mg: 0.6206 0.2412 0.0275
Mg: 0.6206 0.2412 0.4725
Pu: 0.1154 0.2308 0.7500
Pu: 0.8846 0.7692 0.2500
N: 0.7314 0.4629 0.8720
N: 0.2686 0.5371 0.3720
N: 0.0000 0.0000 0.0000
N: 0.5421 0.0842 0.2500
N: 0.0000 0.0000 0.5000
N: 0.4579 0.9158 0.7500
N: 0.2686 0.5371 0.1280
N: 0.7314 0.4629 0.6280
Os: 0.8550 0.7101 0.7500
Os: 0.1450 0.2899 0.2500

Results
Its final energy is -8.088 eV per atom. For the density of states at the Fermi level, the calculation gives 6.53 states/eV/f.u. For the uncorrected formation energy, the calculation gives -331 meV/atom.

# 2
This record from the Alexandria database describes CaY2Ag3 after structural relaxation. The functional is PBE-GGA.

a = 5.1589 Å, b = 5.1589 Å, c = 12.7165 Å
α = 90.00°, β = 90.00°, γ = 120.00°
Sites, in units of the cell vectors:
Ca: 0.6667 0.3333 0.3327
Ca: 0.3333 0.6667 0.6673
Ag: 0.0000 0.0000 0.2471
Ag: 0.6667 0.3333 0.0771
Ag: 0.0000 0.0000 0.7529
Ag: 0.3333 0.6667 0.9229
Ag: 0.3333 0.6667 0.4177
Ag: 0.6667 0.3333 0.5823
Y: 0.6667 0.3333 0.8331
Y: 0.3333 0.6667 0.1669
Y: 0.0000 0.0000 0.0000
Y: 0.0000 0.0000 0.5000

Results
Its final energy is -4.231 eV per atom. For the density of states at the Fermi level, the calculation gives 4.21 states/eV/f.u. The offset from the most stable computed form is 0.062 eV/f.u. Its formation energy from the elements is -317 meV per atom.